A plane-wave DFT calculation with PBE was carried out for a geometry-optimized Te2IrBr structure.

Cell: 17.967 6.925 7.736 Å, 90.00 149.45 90.00°
Atoms (fractional coordinates):
Ir 0.250 0.249 0.250
Ir 0.750 0.751 0.750
Ir 0.250 0.749 0.250
Ir 0.750 0.251 0.750
Te 0.845 0.001 0.698
Te 0.155 0.999 0.302
Te 0.655 0.501 0.802
Te 0.345 0.499 0.198
Te 0.155 0.999 0.817
Te 0.845 0.001 0.183
Te 0.345 0.499 0.683
Te 0.655 0.501 0.317
Br 0.547 0.001 0.344
Br 0.453 0.999 0.656
Br 0.953 0.501 0.156
Br 0.047 0.499 0.844

Distance to the lowest polymorph of the same formula (eV/f.u.): 0.51
E_form (uncorrected) (eV per atom): -0.14
Crystal system: orthorhombic

A plane-wave DFT calculation with PBE was carried out for a geometry-optimized CuSn3Mo structure.

Cell: 5.238 5.238 5.238 Å, 90.00 90.00 90.00°
Atoms (fractional coordinates):
Mo 0.000 0.000 0.000
Sn 0.000 0.500 0.000
Sn 0.000 0.000 0.500
Sn 0.500 0.000 0.000
Cu 0.500 0.500 0.500

Energy of formation from the pure elements (eV/atom): 0.6317
Distance to the lowest polymorph of the same formula (eV/f.u.): 0.00
Crystal system: cubic

Question: Which formula does entry 1 have?
Answer: Te2IrBr